Entry from the Alexandria database: a relaxed structure of UPaAg2O8 (GGA-PBE).

DFT total energy, eV/atom: -7.51
Crystal system: triclinic
Formation energy (no corrections), eV/atom: -2.002
N(E_F), states/eV/atom: 0.393
Total magnetization, μB/f.u.: 0.000

a = 4.920 Å, b = 4.947 Å, c = 7.349 Å
α = 84.58°, β = 84.79°, γ = 86.12°
Fractional positions:
U 0.000 0.000 0.000
Pa 0.000 0.000 0.500
Ag 0.497 0.497 0.752
Ag 0.503 0.503 0.248
O 0.189 0.810 0.240
O 0.190 0.811 0.761
O 0.274 0.273 0.968
O 0.283 0.281 0.461
O 0.717 0.719 0.539
O 0.726 0.727 0.032
O 0.810 0.189 0.239
O 0.811 0.190 0.760